Run w
A relaxed CeHoTlPb crystal, computed with GGA-PBE.

Cell lengths 5.708, 5.708, 5.708 Å; angles 127.39, 127.39, 77.62 degrees
Sites, in units of the cell vectors:
Ce 0.000 0.000 0.000
Ho 0.500 0.500 0.000
Tl 0.750 0.250 0.500
Pb 0.250 0.750 0.500

Calculated values
The space-group type is I-4m2 (119). As for the volume: 113.86 Å³ per cell.

Run x
A relaxed CeHoTlPb crystal, computed with GGA-PBE.

Cell lengths 5.461, 5.461, 5.461 Å; angles 60.00, 60.00, 60.00 degrees
Sites, in units of the cell vectors:
Ce 0.000 0.000 0.000
Ho 0.500 0.500 0.500
Tl 0.250 0.250 0.250
Pb 0.750 0.750 0.750

Calculated values
The space-group type is F-43m (216). As for the volume: 115.14 Å³ per cell.

run w takes first place; second place is 0.027 eV/atom up.

Run w
A relaxed CeHo2Pd crystal, computed with GGA-PBE.

Cell lengths 9.978, 9.978, 9.978 Å; angles 21.00, 21.00, 21.00 degrees
Sites, in units of the cell vectors:
Ce 0.000 0.000 0.000
Ho 0.565 0.565 0.565
Ho 0.766 0.766 0.766
Pd 0.165 0.165 0.165

Calculated values
The space-group type is R3m (160). As for the volume: 111.68 Å³ per cell.

Run x
A relaxed CeHo2Pd crystal, computed with GGA-PBE.

Cell lengths 3.510, 3.510, 8.428 Å; angles 90.00, 90.00, 90.00 degrees
Sites, in units of the cell vectors:
Ce 0.000 0.000 0.000
Ho 0.500 0.500 0.300
Ho 0.500 0.500 0.700
Pd 0.000 0.000 0.500

Calculated values
The space-group type is P4/mmm (123). As for the volume: 103.82 Å³ per cell.

run x takes first place; second place is 0.148 eV/atom up.